[1]
Crystalline SnHg4 at its relaxed geometry. Source: Alexandria via LeMat-Bulk, functional GGA-PBE.

Summary:
volume: 29.6 Å³/atom
space-group type: No. 139
polymorph energy (0 for the lowest one): 60 meV/atom

Cell lengths 5.9869, 5.9869, 5.9869 Å; angles 121.65, 121.65, 87.17 degrees
Atoms (fractional coordinates):
Sn1 0.0000 0.0000 0.0000
Hg1 0.2500 0.7500 0.5000
Hg2 0.3407 0.3407 0.0000
Hg3 0.6593 0.6593 0.0000
Hg4 0.7500 0.2500 0.5000

[2]
Crystalline Sn2Hg5 at its relaxed geometry. Source: Alexandria via LeMat-Bulk, functional GGA-PBE.

Summary:
volume: 28.8 Å³/atom
space-group type: No. 166
total DFT energy (no corrections): -1.31 eV per atom

Cell lengths 11.0128, 11.0128, 11.0128 Å; angles 24.47, 24.47, 24.47 degrees
Atoms (fractional coordinates):
Sn1 0.1460 0.1460 0.1460
Sn2 0.8540 0.8540 0.8540
Hg1 0.0000 0.0000 0.0000
Hg2 0.2851 0.2851 0.2851
Hg3 0.4293 0.4293 0.4293
Hg4 0.5707 0.5707 0.5707
Hg5 0.7149 0.7149 0.7149

[3]
Crystalline SnHg3 at its relaxed geometry. Source: Alexandria via LeMat-Bulk, functional GGA-PBE.

Summary:
volume: 27.7 Å³/atom
space-group type: No. 44
total DFT energy (no corrections): -1.18 eV per atom

Cell lengths 6.0694, 6.0694, 6.0694 Å; angles 149.01, 90.75, 97.45 degrees
Atoms (fractional coordinates):
Sn1 0.0000 0.0000 0.0000
Hg1 0.4815 0.7394 0.7420
Hg2 0.5229 0.0229 0.5000
Hg3 0.9974 0.7394 0.2580

[4]
Crystalline Sn2Hg3 at its relaxed geometry. Source: Alexandria via LeMat-Bulk, functional GGA-PBE.

Summary:
volume: 27.9 Å³/atom
space-group type: No. 167
polymorph energy (0 for the lowest one): 8 meV/atom

Cell lengths 6.6019, 6.6019, 6.6019 Å; angles 81.37, 81.37, 81.37 degrees
Atoms (fractional coordinates):
Sn1 0.1269 0.1269 0.1269
Sn2 0.3731 0.3731 0.3731
Sn3 0.6269 0.6269 0.6269
Sn4 0.8731 0.8731 0.8731
Hg1 0.0711 0.7500 0.4289
Hg2 0.2500 0.5711 0.9289
Hg3 0.4289 0.0711 0.7500
Hg4 0.5711 0.9289 0.2500
Hg5 0.7500 0.4289 0.0711
Hg6 0.9289 0.2500 0.5711

[5]
Crystalline SnHg3 at its relaxed geometry. Source: Alexandria via LeMat-Bulk, functional GGA-PBE.

Summary:
volume: 27.7 Å³/atom
space-group type: No. 11
total DFT energy (no corrections): -1.19 eV per atom

Cell lengths 6.2867, 3.9333, 9.4864 Å; angles 90.00, 109.02, 90.00 degrees
Atoms (fractional coordinates):
Sn1 0.0753 0.2500 0.3941
Sn2 0.9247 0.7500 0.6059
Hg1 0.1298 0.2500 0.8606
Hg2 0.3580 0.7500 0.1113
Hg3 0.4436 0.7500 0.6280
Hg4 0.5564 0.2500 0.3720
Hg5 0.6420 0.2500 0.8887
Hg6 0.8702 0.7500 0.1394

[6]
Crystalline Sn2Hg13 at its relaxed geometry. Source: Alexandria via LeMat-Bulk, functional GGA-PBE.

Summary:
volume: 32.9 Å³/atom
space-group type: No. 166
total DFT energy (no corrections): -0.68 eV per atom

Cell lengths 7.9509, 7.9509, 7.9509 Å; angles 83.30, 83.30, 83.30 degrees
Atoms (fractional coordinates):
Sn1 0.1908 0.1908 0.1908
Sn2 0.8092 0.8092 0.8092
Hg1 0.0000 0.0000 0.0000
Hg2 0.1814 0.4709 0.4709
Hg3 0.1835 0.7310 0.7310
Hg4 0.2690 0.2690 0.8165
Hg5 0.2690 0.8165 0.2690
Hg6 0.4709 0.1814 0.4709
Hg7 0.4709 0.4709 0.1814
Hg8 0.5291 0.5291 0.8186
Hg9 0.5291 0.8186 0.5291
Hg10 0.7310 0.1835 0.7310
Hg11 0.7310 0.7310 0.1835
Hg12 0.8165 0.2690 0.2690
Hg13 0.8186 0.5291 0.5291